1.
A geometry-optimized Nb2CoAgW structure. Source: Alexandria, functional PBE-GGA.

Computed properties:
- energy of formation from the pure elements (meV per atom) = 1171
- E (eV/cell) = -37.2

Unit cell a=4.4858 b=4.4858 c=4.5895 alpha=90.00 beta=90.00 gamma=90.00
Closest atoms and distances in Å follow each position.
Space group P4/mmm (No. 123)
Inequivalent atoms, fractional coordinates:
Nb: 0.0000 0.5000 0.0000 [2 per cell]  2 Co 2.24
Co: 0.0000 0.0000 0.0000 [1 per cell]  4 Nb 2.24, 2 Ag 2.29
Ag: 0.0000 0.0000 0.5000 [1 per cell]  2 Co 2.29
W: 0.5000 0.5000 0.5000 [1 per cell]  4 Ag 3.17, 8 Nb 3.21


2.
A geometry-optimized YNb2CoAg structure. Source: Alexandria, functional PBE-GGA.

Computed properties:
- energy of formation from the pure elements (meV per atom) = 1387
- E (eV/cell) = -29.6

Unit cell a=4.9959 b=4.9959 c=4.7057 alpha=90.00 beta=90.00 gamma=90.00
Closest atoms and distances in Å follow each position.
Space group P4/mmm (No. 123)
Inequivalent atoms, fractional coordinates:
Y: 0.0000 0.0000 0.0000 [1 per cell]  8 Nb 3.43, 4 Co 3.53
Nb: 0.0000 0.5000 0.5000 [2 per cell]  2 Ag 2.50
Co: 0.5000 0.5000 0.0000 [1 per cell]  2 Ag 2.35
Ag: 0.5000 0.5000 0.5000 [1 per cell]  2 Co 2.35, 4 Nb 2.50


3.
A geometry-optimized Nd5Co2Ag structure. Source: Alexandria, functional PBE-GGA.

Computed properties:
- energy of formation from the pure elements (meV per atom) = -115
- E (eV/cell) = -167.3

Unit cell a=7.8197 b=7.8197 c=13.6460 alpha=90.00 beta=90.00 gamma=90.00
Closest atoms and distances in Å follow each position.
Space group I4/mcm (No. 140)
Inequivalent atoms, fractional coordinates:
Nd: 0.0000 0.0000 0.0000 [4 per cell]  4 Co 3.05, 2 Ag 3.41
Nd: 0.1609 0.3391 0.1324 [16 per cell]  3 Co 2.90-2.94
Co: 0.1339 0.3661 0.5000 [8 per cell]  8 Nd 2.90-3.05, 1 Co 2.96
Ag: 0.0000 0.0000 0.2500 [4 per cell]  10 Nd 3.34-3.41


4.
A geometry-optimized Nd2CoAg structure. Source: Alexandria, functional PBE-GGA.

Computed properties:
- energy of formation from the pure elements (meV per atom) = -114
- E (eV/cell) = -19.9

Unit cell a=3.5146 b=3.5146 c=7.6789 alpha=90.00 beta=90.00 gamma=90.00
Closest atoms and distances in Å follow each position.
Space group P4/mmm (No. 123)
Inequivalent atoms, fractional coordinates:
Nd: 0.0000 0.0000 0.2224 [2 per cell]  4 Co 3.02, 4 Ag 3.27
Co: 0.5000 0.5000 0.0000 [1 per cell]  8 Nd 3.02
Ag: 0.5000 0.5000 0.5000 [1 per cell]  8 Nd 3.27, 4 Ag 3.51


5.
A geometry-optimized Nd2CoAg structure. Source: Alexandria, functional PBE-GGA.

Computed properties:
- energy of formation from the pure elements (meV per atom) = -52
- E (eV/cell) = -59.1

Unit cell a=3.9997 b=3.9997 c=22.6678 alpha=90.00 beta=90.00 gamma=120.00
Closest atoms and distances in Å follow each position.
Space group R3m (No. 160, hexagonal axes)
Inequivalent atoms, fractional coordinates:
Nd: 0.0000 0.0000 0.0000 [3 per cell]  3 Co 2.78
Nd: 0.0000 0.0000 0.1983 [3 per cell]  3 Co 2.76
Co: 0.0000 0.0000 0.5983 [3 per cell]  6 Nd 2.76-2.78
Ag: 0.0000 0.0000 0.4333 [3 per cell]  6 Nd 3.21-3.24


6.
A geometry-optimized Nd3CoAg structure. Source: Alexandria, functional PBE-GGA.

Computed properties:
- energy of formation from the pure elements (meV per atom) = -126
- energy above the most stable polymorph in this dataset (meV/atom) = 0
- E (eV/cell) = -99.6

Unit cell a=16.4256 b=3.8345 c=8.5337 alpha=90.00 beta=92.58 gamma=90.00
Closest atoms and distances in Å follow each position.
Space group C2/m (No. 12)
Inequivalent atoms, fractional coordinates:
Nd: 0.0557 0.0000 0.2953 [4 per cell]  4 Ag 3.10-3.34, 1 Co 3.44
Nd: 0.1025 0.5000 0.9495 [4 per cell]  3 Co 2.84-2.93
Nd: 0.2460 0.0000 0.7026 [4 per cell]  3 Co 2.84-3.08
Co: 0.2195 0.0000 0.0577 [4 per cell]  2 Co 2.40
Ag: 0.0936 0.5000 0.5739 [4 per cell]  7 Nd 3.10-3.34, 1 Ag 3.27


7.
A geometry-optimized Nd4Co2Ag structure. Source: Alexandria, functional PBE-GGA.

Computed properties:
- energy of formation from the pure elements (meV per atom) = -18
- energy above the most stable polymorph in this dataset (meV/atom) = 0
- E (eV/cell) = -108.8

Unit cell a=4.6135 b=4.6135 c=29.4920 alpha=90.00 beta=90.00 gamma=120.00
Closest atoms and distances in Å follow each position.
Space group R-3m (No. 166, hexagonal axes)
Inequivalent atoms, fractional coordinates:
Nd: 0.0000 0.0000 0.1136 [6 per cell]  3 Co 2.93, 3 Ag 3.09
Nd: 0.0000 0.0000 0.2969 [6 per cell]  4 Co 2.86-3.19
Co: 0.0000 0.0000 0.4051 [6 per cell]  1 Ag 2.80, 6 Nd 2.86-2.93
Ag: 0.0000 0.0000 0.5000 [3 per cell]  2 Co 2.80, 6 Nd 3.09


8.
A geometry-optimized Nd2CoAg structure. Source: Alexandria, functional PBE-GGA.

Computed properties:
- energy of formation from the pure elements (meV per atom) = -87
- E (eV/cell) = -79.4

Unit cell a=13.0980 b=3.7205 c=9.1380 alpha=90.00 beta=116.72 gamma=90.00
Closest atoms and distances in Å follow each position.
Space group C2/m (No. 12)
Inequivalent atoms, fractional coordinates:
Nd: 0.0861 0.0000 0.2132 [4 per cell]  3 Co 2.87-2.99
Nd: 0.1370 0.0000 0.6652 [4 per cell]  3 Co 2.85-3.03
Co: 0.1940 0.5000 0.4778 [4 per cell]  2 Co 2.29
Ag: 0.1546 0.5000 0.9710 [4 per cell]  2 Ag 2.97, 5 Nd 3.22-3.31


Which of these has the lowest E?
Nd5Co2Ag


What is the formula in the third record?
Nd5Co2Ag